*a*
Density functional theory data (GGA-PBE) for a relaxed structure of LiTl2Rh2. Values from VASP.

## Properties
As for the crystal system: tetragonal. The spin magnetization comes out at 0.00 Bohr magnetons per cell.

Quantum ESPRESSO input file:
```
&SYSTEM
  ibrav = 0, nat = 10, ntyp = 3
/
ATOMIC_SPECIES
Li 6.94 Li.upf
Tl 204.38 Tl.upf
Rh 102.91 Rh.upf
CELL_PARAMETERS angstrom
7.6905 0.0000 0.0000
0.0000 7.6905 0.0000
0.0000 0.0000 3.2272
ATOMIC_POSITIONS crystal
Li 0.0000 0.0000 0.0000
Li 0.5000 0.5000 0.0000
Tl 0.1664 0.3336 0.5000
Tl 0.3336 0.8336 0.5000
Tl 0.6664 0.1664 0.5000
Tl 0.8336 0.6664 0.5000
Rh 0.1325 0.6325 0.0000
Rh 0.3675 0.1325 0.0000
Rh 0.6325 0.8675 0.0000
Rh 0.8675 0.3675 0.0000
```



*b*
Density functional theory data (GGA-PBE) for a relaxed structure of LiTl2Rh2. Values from VASP.

## Properties
As for the crystal system: tetragonal. The spin magnetization comes out at 0.00 Bohr magnetons per cell.

Quantum ESPRESSO input file:
```
&SYSTEM
  ibrav = 0, nat = 5, ntyp = 3
/
ATOMIC_SPECIES
Li 6.94 Li.upf
Tl 204.38 Tl.upf
Rh 102.91 Rh.upf
CELL_PARAMETERS angstrom
-1.9316 1.9316 6.9710
1.9316 -1.9316 6.9710
1.9316 1.9316 -6.9710
ATOMIC_POSITIONS crystal
Li 0.0000 0.0000 0.0000
Tl 0.3922 0.3922 0.0000
Tl 0.6078 0.6078 0.0000
Rh 0.2500 0.7500 0.5000
Rh 0.7500 0.2500 0.5000
```



Q: Which of them is the least stable? A: *b*.



*a*
Density functional theory data (GGA-PBE) for a relaxed structure of Li6TlRh. Values from VASP.

## Properties
As for the crystal system: orthorhombic. The spin magnetization comes out at 0.00 Bohr magnetons per cell.

Quantum ESPRESSO input file:
```
&SYSTEM
  ibrav = 0, nat = 32, ntyp = 3
/
ATOMIC_SPECIES
Li 6.94 Li.upf
Tl 204.38 Tl.upf
Rh 102.91 Rh.upf
CELL_PARAMETERS angstrom
3.2997 -6.3216 0.0000
3.2997 6.3216 0.0000
0.0000 0.0000 12.3758
ATOMIC_POSITIONS crystal
Li 0.0000 0.0000 0.0000
Li 0.0000 0.0000 0.5000
Li 0.1394 0.4022 0.1119
Li 0.1394 0.4022 0.8881
Li 0.1566 0.3969 0.3594
Li 0.1566 0.3969 0.6406
Li 0.2435 0.7565 0.2291
Li 0.2435 0.7565 0.7709
Li 0.3969 0.1566 0.3594
Li 0.3969 0.1566 0.6406
Li 0.4022 0.1394 0.1119
Li 0.4022 0.1394 0.8881
Li 0.5000 0.5000 0.0000
Li 0.5000 0.5000 0.5000
Li 0.5978 0.8606 0.1119
Li 0.5978 0.8606 0.8881
Li 0.6031 0.8434 0.3594
Li 0.6031 0.8434 0.6406
Li 0.7565 0.2435 0.2291
Li 0.7565 0.2435 0.7709
Li 0.8434 0.6031 0.3594
Li 0.8434 0.6031 0.6406
Li 0.8606 0.5978 0.1119
Li 0.8606 0.5978 0.8881
Tl 0.0000 0.0000 0.2365
Tl 0.0000 0.0000 0.7635
Tl 0.2386 0.7614 0.5000
Tl 0.7614 0.2386 0.5000
Rh 0.2391 0.7609 0.0000
Rh 0.5000 0.5000 0.2287
Rh 0.5000 0.5000 0.7713
Rh 0.7609 0.2391 0.0000
```



*b*
Density functional theory data (GGA-PBE) for a relaxed structure of Li6TlRh. Values from VASP.

## Properties
As for the crystal system: orthorhombic. The spin magnetization comes out at 0.00 Bohr magnetons per cell.

Quantum ESPRESSO input file:
```
&SYSTEM
  ibrav = 0, nat = 8, ntyp = 3
/
ATOMIC_SPECIES
Li 6.94 Li.upf
Tl 204.38 Tl.upf
Rh 102.91 Rh.upf
CELL_PARAMETERS angstrom
4.0986 0.0000 0.0000
0.0000 4.2724 3.7473
0.0000 -4.2724 3.7473
ATOMIC_POSITIONS crystal
Li 0.0000 0.0000 0.0000
Li 0.0000 0.5379 0.9865
Li 0.0000 0.9865 0.5379
Li 0.5000 0.2480 0.2480
Li 0.5000 0.2565 0.7524
Li 0.5000 0.7524 0.2565
Tl 0.0000 0.4997 0.4997
Rh 0.5000 0.7659 0.7659
```



Q: Which of them is the least stable? A: *a*.